(1)
# Cs2YTlBr6 PBE-GGA relaxed
data_Cs2YTlBr6
_cell_length_a 8.263
_cell_length_b 8.622
_cell_length_c 14.458
_cell_angle_alpha 90.00
_cell_angle_beta 124.68
_cell_angle_gamma 90.00
_symmetry_space_group_name_H-M 'P 1 21/c 1'
_symmetry_Int_Tables_number 14
loop_
_symmetry_equiv_pos_as_xyz
'x,y,z'
'-x,-y,-z'
'-x,y+1/2,-z+1/2'
'x,-y+1/2,z+1/2'
loop_
_atom_site_label
_atom_site_type_symbol
_atom_site_fract_x
_atom_site_fract_y
_atom_site_fract_z
Cs1 Cs 0.231 0.063 0.250
Y1 Y 0.500 0.000 0.000
Tl1 Tl 0.000 0.000 0.500
Br1 Br 0.182 0.182 0.960
Br2 Br 0.277 0.727 0.956
Br3 Br 0.354 0.020 0.771
# ΔE to the lowest computed polymorph	0	meV/atom
# magnetization	0.00	μB per cell
# E	-75.0	eV for the cell shown
# calculated volume	847.1	Å³/cell
# E_form (uncorrected)	-16.92	eV/f.u.


(2)
# Dy6HoEr2Mg PBE-GGA relaxed
data_Dy6HoEr2Mg
_cell_length_a 9.037
_cell_length_b 14.583
_cell_length_c 9.485
_cell_angle_alpha 90.00
_cell_angle_beta 98.49
_cell_angle_gamma 90.00
_symmetry_space_group_name_H-M 'C 1 2/c 1'
_symmetry_Int_Tables_number 15
loop_
_symmetry_equiv_pos_as_xyz
'x,y,z'
'-x,-y,-z'
'-x,y,-z+1/2'
'x,-y,z+1/2'
'x+1/2,y+1/2,z'
'-x+1/2,-y+1/2,-z'
'-x+1/2,y+1/2,-z+1/2'
'x+1/2,-y+1/2,z+1/2'
loop_
_atom_site_label
_atom_site_type_symbol
_atom_site_fract_x
_atom_site_fract_y
_atom_site_fract_z
Dy1 Dy 0.062 0.183 0.448
Dy2 Dy 0.100 0.397 0.614
Dy3 Dy 0.212 0.221 0.812
Ho1 Ho 0.000 0.020 0.750
Er1 Er 0.249 0.050 0.051
Mg1 Mg 0.000 0.405 0.250
# magnetization	0.00	μB per cell
# E	-166.7	eV for the cell shown
# DFT formation energy	0.124	eV/atom
# calculated volume	1236.4	Å³/cell


(3)
# Y3Al3Au PBE-GGA relaxed
data_Y3Al3Au
_cell_length_a 10.885
_cell_length_b 4.462
_cell_length_c 14.477
_cell_angle_alpha 90.00
_cell_angle_beta 109.97
_cell_angle_gamma 90.00
_symmetry_space_group_name_H-M 'C 1 2/m 1'
_symmetry_Int_Tables_number 12
loop_
_symmetry_equiv_pos_as_xyz
'x,y,z'
'-x,-y,-z'
'-x,y,-z'
'x,-y,z'
'x+1/2,y+1/2,z'
'-x+1/2,-y+1/2,-z'
'-x+1/2,y+1/2,-z'
'x+1/2,-y+1/2,z'
loop_
_atom_site_label
_atom_site_type_symbol
_atom_site_fract_x
_atom_site_fract_y
_atom_site_fract_z
Y1 Y 0.030 0.000 0.380
Y2 Y 0.104 0.000 0.923
Y3 Y 0.240 0.000 0.227
Al1 Al 0.033 0.500 0.232
Al2 Al 0.108 0.500 0.076
Al3 Al 0.135 0.500 0.539
Au1 Au 0.247 0.500 0.391
# magnetization	0.00	μB per cell
# E	-152.0	eV for the cell shown
# DFT formation energy	-0.585	eV/atom
# calculated volume	660.9	Å³/cell


(4)
# SmNpFe4 PBE-GGA relaxed
data_SmNpFe4
_cell_length_a 7.243
_cell_length_b 7.243
_cell_length_c 7.243
_cell_angle_alpha 90.00
_cell_angle_beta 90.00
_cell_angle_gamma 90.00
_symmetry_space_group_name_H-M 'F -4 3 m'
_symmetry_Int_Tables_number 216
_symmetry_space_group_name_Hall 'F -4 2 3'
loop_
_atom_site_label
_atom_site_type_symbol
_atom_site_fract_x
_atom_site_fract_y
_atom_site_fract_z
Sm1 Sm 0.000 0.000 0.000
Np1 Np 0.250 0.250 0.750
Fe1 Fe 0.124 0.124 0.376
# ΔE to the lowest computed polymorph	0	meV/atom
# magnetization	14.67	μB per cell
# E	-204.4	eV for the cell shown
# DFT formation energy	0.068	eV/atom
# calculated volume	380.0	Å³/cell


(5)
# RbHg2Se2 PBE-GGA relaxed
data_RbHg2Se2
_cell_length_a 6.813
_cell_length_b 7.430
_cell_length_c 8.253
_cell_angle_alpha 113.77
_cell_angle_beta 101.55
_cell_angle_gamma 98.89
_symmetry_space_group_name_H-M 'P -1'
_symmetry_Int_Tables_number 2
loop_
_symmetry_equiv_pos_as_xyz
'x,y,z'
'-x,-y,-z'
loop_
_atom_site_label
_atom_site_type_symbol
_atom_site_fract_x
_atom_site_fract_y
_atom_site_fract_z
Rb1 Rb 0.234 0.279 0.446
Hg1 Hg 0.199 0.487 0.020
Hg2 Hg 0.373 0.006 0.750
Se1 Se 0.211 0.761 0.418
Se2 Se 0.486 0.288 0.082
# ΔE to the lowest computed polymorph	0	meV/atom
# magnetization	0.00	μB per cell
# E	-21.8	eV for the cell shown
# calculated volume	361.5	Å³/cell
# E_form (uncorrected)	-2.37	eV/f.u.


(6)
# BaCdMo PBE-GGA relaxed
data_BaCdMo
_cell_length_a 7.410
_cell_length_b 7.410
_cell_length_c 7.410
_cell_angle_alpha 90.00
_cell_angle_beta 90.00
_cell_angle_gamma 90.00
_symmetry_space_group_name_H-M 'F -4 3 m'
_symmetry_Int_Tables_number 216
_symmetry_space_group_name_Hall 'F -4 2 3'
loop_
_atom_site_label
_atom_site_type_symbol
_atom_site_fract_x
_atom_site_fract_y
_atom_site_fract_z
Ba1 Ba 0.000 0.000 0.000
Cd1 Cd 0.000 0.000 0.500
Mo1 Mo 0.250 0.250 0.750
# ΔE to the lowest computed polymorph	284	meV/atom
# magnetization	14.21	μB per cell
# E	-41.7	eV for the cell shown
# DFT formation energy	1.085	eV/atom
# calculated volume	406.9	Å³/cell


(7)
# Sm4ThTe5 PBE-GGA relaxed
data_Sm4ThTe5
_cell_length_a 4.449
_cell_length_b 4.449
_cell_length_c 31.494
_cell_angle_alpha 90.00
_cell_angle_beta 90.00
_cell_angle_gamma 90.00
_symmetry_space_group_name_H-M 'I 4/m m m'
_symmetry_Int_Tables_number 139
_symmetry_space_group_name_Hall '-I 4 2'
loop_
_atom_site_label
_atom_site_type_symbol
_atom_site_fract_x
_atom_site_fract_y
_atom_site_fract_z
Sm1 Sm 0.000 0.000 0.099
Sm2 Sm 0.000 0.000 0.300
Th1 Th 0.000 0.000 0.500
Te1 Te 0.000 0.000 0.000
Te2 Te 0.000 0.000 0.200
Te3 Te 0.000 0.000 0.399
# ΔE to the lowest computed polymorph	0	meV/atom
# magnetization	0.00	μB per cell
# E	-110.0	eV for the cell shown
# calculated volume	623.3	Å³/cell
# E_form (uncorrected)	-13.01	eV/f.u.


(8)
# Tm6BiSb3Se2 PBE-GGA relaxed
data_Tm6BiSb3Se2
_cell_length_a 7.379
_cell_length_b 12.773
_cell_length_c 7.353
_cell_angle_alpha 90.00
_cell_angle_beta 109.52
_cell_angle_gamma 90.00
_symmetry_space_group_name_H-M 'C 1 2/m 1'
_symmetry_Int_Tables_number 12
loop_
_symmetry_equiv_pos_as_xyz
'x,y,z'
'-x,-y,-z'
'-x,y,-z'
'x,-y,z'
'x+1/2,y+1/2,z'
'-x+1/2,-y+1/2,-z'
'-x+1/2,y+1/2,-z'
'x+1/2,-y+1/2,z'
loop_
_atom_site_label
_atom_site_type_symbol
_atom_site_fract_x
_atom_site_fract_y
_atom_site_fract_z
Tm1 Tm 0.235 0.000 0.241
Tm2 Tm 0.245 0.172 0.750
Bi1 Bi 0.000 0.500 0.000
Sb1 Sb 0.000 0.000 0.500
Sb2 Sb 0.000 0.339 0.500
Se1 Se 0.000 0.168 0.000
# magnetization	0.00	μB per cell
# E	-129.4	eV for the cell shown
# calculated volume	653.2	Å³/cell
# E_form (uncorrected)	-14.67	eV/f.u.


(9)
# Er6Rh2Pb PBE-GGA relaxed
data_Er6Rh2Pb
_cell_length_a 9.345
_cell_length_b 9.664
_cell_length_c 10.310
_cell_angle_alpha 90.00
_cell_angle_beta 90.00
_cell_angle_gamma 90.00
_symmetry_space_group_name_H-M 'I m m m'
_symmetry_Int_Tables_number 71
_symmetry_space_group_name_Hall '-I 2 2'
loop_
_atom_site_label
_atom_site_type_symbol
_atom_site_fract_x
_atom_site_fract_y
_atom_site_fract_z
Er1 Er 0.000 0.208 0.237
Er2 Er 0.192 0.500 0.170
Er3 Er 0.210 0.319 0.500
Rh1 Rh 0.000 0.338 0.000
Rh2 Rh 0.000 0.500 0.366
Pb1 Pb 0.000 0.000 0.000
Pb2 Pb 0.000 0.000 0.500
# magnetization	0.00	μB per cell
# E	-204.9	eV for the cell shown
# DFT formation energy	-0.605	eV/atom
# calculated volume	931.1	Å³/cell


(10)
# Ga2Ag7Hg PBE-GGA relaxed
data_Ga2Ag7Hg
_cell_length_a 7.586
_cell_length_b 13.010
_cell_length_c 4.646
_cell_angle_alpha 90.00
_cell_angle_beta 90.00
_cell_angle_gamma 90.00
_symmetry_space_group_name_H-M 'C m m m'
_symmetry_Int_Tables_number 65
_symmetry_space_group_name_Hall '-C 2 2'
loop_
_atom_site_label
_atom_site_type_symbol
_atom_site_fract_x
_atom_site_fract_y
_atom_site_fract_z
Ga1 Ga 0.000 0.197 0.000
Ag1 Ag 0.000 0.000 0.000
Ag2 Ag 0.000 0.284 0.500
Ag3 Ag 0.184 0.384 0.000
Hg1 Hg 0.000 0.500 0.500
# magnetization	0.00	μB per cell
# E	-48.5	eV for the cell shown
# DFT formation energy	0.206	eV/atom
# calculated volume	458.6	Å³/cell


(11)
# TcNiPtRh PBE-GGA relaxed
data_TcNiPtRh
_cell_length_a 3.8139
_cell_length_b 3.8139
_cell_length_c 15.5023
_cell_angle_alpha 90.00
_cell_angle_beta 90.00
_cell_angle_gamma 120.00
_symmetry_space_group_name_H-M 'R 3 m'
_symmetry_Int_Tables_number 160
_symmetry_space_group_name_Hall 'R 3 -2"'
loop_
_atom_site_label
_atom_site_type_symbol
_atom_site_fract_x
_atom_site_fract_y
_atom_site_fract_z
Tc1 Tc 0.0000 0.0000 0.0000
Ni1 Ni 0.0000 0.0000 0.8309
Pt1 Pt 0.0000 0.0000 0.5765
Rh1 Rh 0.0000 0.0000 0.4069
# ΔE to the lowest computed polymorph	329	meV/atom
# magnetization	0.00	μB per cell
# E	-82.6	eV for the cell shown
# DFT formation energy	0.503	eV/atom
# calculated volume	195.3	Å³/cell


(12)
# AlNiSb2 PBE-GGA relaxed
data_AlNiSb2
_cell_length_a 3.206
_cell_length_b 3.401
_cell_length_c 7.839
_cell_angle_alpha 90.00
_cell_angle_beta 90.00
_cell_angle_gamma 90.00
_symmetry_space_group_name_H-M 'P m m 2'
_symmetry_Int_Tables_number 25
loop_
_symmetry_equiv_pos_as_xyz
'x,y,z'
'-x,-y,z'
'-x,y,z'
'x,-y,z'
loop_
_atom_site_label
_atom_site_type_symbol
_atom_site_fract_x
_atom_site_fract_y
_atom_site_fract_z
Al1 Al 0.000 0.000 0.000
Ni1 Ni 0.500 0.500 0.136
Sb1 Sb 0.000 0.000 0.350
Sb2 Sb 0.500 0.500 0.781
# magnetization	0.00	μB per cell
# E	-17.9	eV for the cell shown
# calculated volume	85.5	Å³/cell
# E_form (uncorrected)	-0.17	eV/f.u.


- What is the formula in the tenth record?
  Ga2Ag7Hg


- The lowest E belongs to which entry?
  Er6Rh2Pb


- Which value of E does entry 5 give?
  -21.8 eV for the cell shown


- Which formula does entry 6 have?
  BaCdMo